VASP calculation (PBE+U) on Cd2NiWF after structural relaxation.

Values from the calculation:
Size of the total moment: 0.688 μB per atom
Raw total energy: -2.180 eV/atom

Cell: 4.9245 4.9245 4.6639 Å, 90.00 90.00 90.00°
Last column: nearest neighbours and their distance in Å.
Space group P4/mmm (No. 123)
Asymmetric unit:
Cd (0.0000, 0.5000, 0.0000)  2 Ni 2.46
Ni (0.0000, 0.0000, 0.0000)  2 W 2.33, 4 Cd 2.46
W (0.0000, 0.0000, 0.5000)  2 Ni 2.33
F (0.5000, 0.5000, 0.5000)  8 Cd 3.39, 4 W 3.48